Compound: HfAg3I2F6
Source: the Alexandria database
Functional: PBE
Structure: relaxed

## Properties
Electronic total energy, eV per cell: -56.356
Volume, Å³ per cell: 253.6
Symmetry: C2/m
Total magnetic moment, Bohr magnetons per cell: 0.000
Formation energy without anion corrections, eV/atom: -1.960

a b c (Å): 5.2108 6.7626 7.9531
angles (deg): 115.16 91.06 90.00
Last column: nearest neighbours and their distance in Å.
Element x y z (fractional)
Hf  0.5000  0.0000  0.0000  6 F 2.01-2.02
Ag  0.0000  0.5000  0.0000  4 F 2.48
Ag  0.5000  0.5000  0.5000  2 F 2.59, 2 I 2.73
Ag  0.5000  0.0000  0.5000  2 F 2.59, 2 I 2.73
I  0.1165  0.6923  0.3846  3 Ag 2.73-2.82
I  0.8835  0.3077  0.6154  3 Ag 2.73-2.82
F  0.7348  0.2627  0.0954  1 Hf 2.01
F  0.2652  0.7373  0.9046  1 Hf 2.01
F  0.6636  0.8737  0.7474  1 Hf 2.02
F  0.3364  0.1263  0.2526  1 Hf 2.02
F  0.2652  0.1673  0.9046  1 Hf 2.01
F  0.7348  0.8327  0.0954  1 Hf 2.01